1.
Density functional theory data (PBE-GGA) for K2MnW after structural relaxation.

Cell and atoms, written as POSCAR:
```
K2MnW
1.0
-0.3723 -0.2932 2.7867
1.8684 -5.7783 -0.3583
5.1914 1.6250 0.8645
K W Mn
2 1 1
direct
0.0000 0.0000 0.5009 K
0.0000 0.0000 0.9991 K
0.5000 0.5000 0.7500 W
0.5000 0.5000 0.2500 Mn
```

Summary:
energy = -4.491 eV per atom
energy relative to the elements = 6.35 eV per formula unit
symmetry = No. 47

=====

2.
Density functional theory data (PBE-GGA) for MnHRu2 after structural relaxation.

Cell and atoms, written as POSCAR:
```
MnHRu2
1.0
-2.1101 1.3383 -1.0591
-2.1598 -1.3708 -0.9063
-4.1380 0.3711 5.2363
Mn Ru H
1 2 1
direct
0.5000 0.5000 0.5000 Mn
0.2709 0.2709 0.1874 Ru
0.7291 0.7291 0.8126 Ru
0.0000 0.0000 0.0000 H
```

Summary:
energy = -7.652 eV per atom
symmetry = No. 166

=====

3.
Density functional theory data (PBE-GGA) for PmTeAu after structural relaxation.

Cell and atoms, written as POSCAR:
```
PmTeAu
1.0
-2.2124 -3.3509 -0.5831
2.2631 -1.9695 2.7318
-3.0415 4.0433 2.4215
Au Te Pm
1 1 1
direct
0.9534 0.9534 0.9068 Au
0.2796 0.2796 0.5592 Te
0.6170 0.6170 0.2340 Pm
```

Summary:
energy = -4.618 eV per atom
symmetry = No. 107

=====

- Which of these has the lowest energy?
  MnHRu2

=====

- Look up the energy of the second one.
  -7.652 eV per atom

=====

- What is the energy in the second record?
  -7.652 eV per atom

=====

What did the third record say?
Density functional theory data (PBE-GGA) for PmTeAu after structural relaxation.

Cell and atoms, written as POSCAR:
```
PmTeAu
1.0
-2.2124 -3.3509 -0.5831
2.2631 -1.9695 2.7318
-3.0415 4.0433 2.4215
Au Te Pm
1 1 1
direct
0.9534 0.9534 0.9068 Au
0.2796 0.2796 0.5592 Te
0.6170 0.6170 0.2340 Pm
```

Summary:
energy = -4.618 eV per atom
symmetry = No. 107